K2GaSb | GGA-PBE | optimized geometry

## Properties
* uncorrected formation energy: -59.3 kJ/mol of formula units
* magnetic moment: 0.00 μB per cell
* DOS at the Fermi energy: 9.67 states/eV per cell
* final energy: -39.837 eV/cell

a b c (Å): 11.473 6.921 8.812
angles (deg): 90.00 112.03 90.00
Space group P2_1/c (No. 14)
Asymmetric unit:
1 K 0.149 0.248 0.079
2 K 0.279 0.750 0.392
3 Ga 0.389 0.250 0.446
4 Sb 0.497 0.513 0.749

K2LiTc | GGA-PBE | optimized geometry

## Properties
* magnetic moment: 6.81 μB per cell
* ΔH_f (0 K): 1.1658 eV/atom
* DOS at the Fermi energy: 11.65 states/eV per cell
* final energy: -19.623 eV/cell

a b c (Å): 5.697 5.697 8.075
angles (deg): 90.00 90.00 90.00
Space group I-4m2 (No. 119)
Asymmetric unit:
1 K 0.000 0.000 0.000
2 K 0.000 0.500 0.250
3 Li 0.000 0.500 0.750
4 Tc 0.000 0.000 0.500

- Which of these has the highest DOS at the Fermi energy?
  K2LiTc

Repeat the second record exactly.
K2LiTc | GGA-PBE | optimized geometry

## Properties
* magnetic moment: 6.81 μB per cell
* ΔH_f (0 K): 1.1658 eV/atom
* DOS at the Fermi energy: 11.65 states/eV per cell
* final energy: -19.623 eV/cell

a b c (Å): 5.697 5.697 8.075
angles (deg): 90.00 90.00 90.00
Space group I-4m2 (No. 119)
Asymmetric unit:
1 K 0.000 0.000 0.000
2 K 0.000 0.500 0.250
3 Li 0.000 0.500 0.750
4 Tc 0.000 0.000 0.500

Repeat the first record exactly.
K2GaSb | GGA-PBE | optimized geometry

## Properties
* uncorrected formation energy: -59.3 kJ/mol of formula units
* magnetic moment: 0.00 μB per cell
* DOS at the Fermi energy: 9.67 states/eV per cell
* final energy: -39.837 eV/cell

a b c (Å): 11.473 6.921 8.812
angles (deg): 90.00 112.03 90.00
Space group P2_1/c (No. 14)
Asymmetric unit:
1 K 0.149 0.248 0.079
2 K 0.279 0.750 0.392
3 Ga 0.389 0.250 0.446
4 Sb 0.497 0.513 0.749